Entry 1:
Computed, not measured: Tb2Pm2Se5 after structural relaxation at the PBE level of DFT.

Calculated values
- excess energy over the best structure of this formula in the dataset (meV/atom) = 0
- space-group type = Cmce
- theoretical density (g/cm³) = 7.442
- raw formation energy (eV/atom) = -1.770
- total DFT energy (no corrections) (eV for the cell shown) = -104.22

Cell lengths 8.367, 8.367, 7.760 Å; angles 90.00, 90.00, 55.44 degrees
Fractional coordinates of all 18 atoms:
Tb (0.151, 0.849, 0.843)
Tb (0.349, 0.651, 0.343)
Tb (0.651, 0.349, 0.657)
Tb (0.849, 0.151, 0.157)
Pm (0.197, 0.197, 0.500)
Pm (0.303, 0.303, 0.000)
Pm (0.697, 0.697, 0.000)
Pm (0.803, 0.803, 0.500)
Se (0.000, 0.000, 0.500)
Se (0.022, 0.705, 0.154)
Se (0.205, 0.522, 0.654)
Se (0.295, 0.978, 0.154)
Se (0.478, 0.795, 0.654)
Se (0.500, 0.500, 0.000)
Se (0.522, 0.205, 0.346)
Se (0.705, 0.022, 0.846)
Se (0.795, 0.478, 0.346)
Se (0.978, 0.295, 0.846)

Entry 2:
Computed, not measured: LaPr8Dy2 after structural relaxation at the PBE level of DFT.

Calculated values
- excess energy over the best structure of this formula in the dataset (meV/atom) = 0
- space-group type = Immm
- theoretical density (g/cm³) = 6.692
- energy relative to the elements (kJ per mole of atoms) = 9.8
- total DFT energy (no corrections) (eV for the cell shown) = -51.25

Cell lengths 9.596, 9.596, 9.596 Å; angles 145.17, 127.64, 64.43 degrees
Fractional coordinates of all 11 atoms:
La (0.000, 0.000, 0.000)
Pr (0.156, 0.860, 0.296)
Pr (0.162, 0.662, 0.500)
Pr (0.295, 0.500, 0.795)
Pr (0.436, 0.140, 0.296)
Pr (0.564, 0.860, 0.704)
Pr (0.705, 0.500, 0.205)
Pr (0.838, 0.338, 0.500)
Pr (0.844, 0.140, 0.704)
Dy (0.300, 0.300, 0.000)
Dy (0.700, 0.700, 0.000)

Entry 3:
Computed, not measured: AlCoAg2 after structural relaxation at the PBE level of DFT.

Calculated values
- space-group type = C2/m
- theoretical density (g/cm³) = 8.172
- energy relative to the elements (kJ per mole of atoms) = 11.9
- total DFT energy (no corrections) (eV for the cell shown) = -16.06

Cell lengths 4.943, 4.943, 4.653 Å; angles 102.72, 102.72, 33.65 degrees
Fractional coordinates of all 4 atoms:
Al (0.000, 0.000, 0.000)
Co (0.500, 0.500, 0.500)
Ag (0.250, 0.250, 0.748)
Ag (0.750, 0.750, 0.252)

Entry 4:
Computed, not measured: LaAs2Pb after structural relaxation at the PBE level of DFT.

Calculated values
- excess energy over the best structure of this formula in the dataset (meV/atom) = 37
- space-group type = P4/mmm
- theoretical density (g/cm³) = 8.173
- energy relative to the elements (kJ per mole of atoms) = -63.4
- total DFT energy (no corrections) (eV for the cell shown) = -20.56

Cell lengths 5.012, 5.012, 4.011 Å; angles 90.00, 90.00, 90.00 degrees
Fractional coordinates of all 4 atoms:
La (0.000, 0.000, 0.000)
As (0.000, 0.500, 0.500)
As (0.500, 0.000, 0.500)
Pb (0.500, 0.500, 0.000)

Entry 5:
Computed, not measured: InAgHg2Se4 after structural relaxation at the PBE level of DFT.

Calculated values
- space-group type = I-42m
- theoretical density (g/cm³) = 6.549
- raw formation energy (eV/atom) = -0.317
- total DFT energy (no corrections) (eV for the cell shown) = -22.67

Cell lengths 7.562, 7.562, 7.562 Å; angles 131.39, 131.39, 71.19 degrees
Fractional coordinates of all 8 atoms:
In (0.000, 0.000, 0.000)
Ag (0.500, 0.500, 0.000)
Hg (0.250, 0.750, 0.500)
Hg (0.750, 0.250, 0.500)
Se (0.127, 0.127, 0.497)
Se (0.369, 0.873, 0.000)
Se (0.631, 0.631, 0.503)
Se (0.873, 0.369, 0.000)

Entry 6:
Computed, not measured: Ni2TePb after structural relaxation at the PBE level of DFT.

Calculated values
- excess energy over the best structure of this formula in the dataset (meV/atom) = 164
- space-group type = P4mm
- theoretical density (g/cm³) = 9.156
- raw formation energy (eV/atom) = 0.081
- total DFT energy (no corrections) (eV for the cell shown) = -18.09

Cell lengths 3.305, 3.305, 7.506 Å; angles 90.00, 90.00, 90.00 degrees
Fractional coordinates of all 4 atoms:
Ni (0.000, 0.000, 0.000)
Ni (0.500, 0.500, 0.167)
Te (0.500, 0.500, 0.835)
Pb (0.000, 0.000, 0.383)